1.
# FeMo2Au, relaxed, DFT PBE
# N(E_F)   5.81 states/eV/f.u.
data_FeMo2Au
_chemical_formula_sum 'Fe4 Mo8 Au4'
_space_group_name_H-M_alt 'F m -3 m'
_space_group_IT_number 225
_space_group_name_Hall '-F 4 2 3'
_cell_length_a 6.2942
_cell_length_b 6.2942
_cell_length_c 6.2942
_cell_angle_alpha 90.00
_cell_angle_beta 90.00
_cell_angle_gamma 90.00
loop_
_atom_site_label
_atom_site_type_symbol
_atom_site_fract_x
_atom_site_fract_y
_atom_site_fract_z
Fe1 Fe 0.0000 0.0000 0.0000
Mo1 Mo 0.2500 0.2500 0.2500
Au1 Au 0.0000 0.0000 0.5000

2.
# FeMo2Au, relaxed, DFT PBE
# N(E_F)   4.05 states/eV/f.u.
data_FeMo2Au
_chemical_formula_sum 'Fe3 Mo6 Au3'
_space_group_name_H-M_alt 'R -3 m'
_space_group_IT_number 166
_space_group_name_Hall '-R 3 2"'
_cell_length_a 2.7663
_cell_length_b 2.7663
_cell_length_c 27.4544
_cell_angle_alpha 90.00
_cell_angle_beta 90.00
_cell_angle_gamma 120.00
loop_
_atom_site_label
_atom_site_type_symbol
_atom_site_fract_x
_atom_site_fract_y
_atom_site_fract_z
Fe1 Fe 0.0000 0.0000 0.0000
Mo1 Mo 0.0000 0.0000 0.2577
Au1 Au 0.0000 0.0000 0.5000

3.
# FeMo2Au, relaxed, DFT PBE
# N(E_F)   3.38 states/eV/f.u.
data_FeMo2Au
_chemical_formula_sum 'Fe1 Mo2 Au1'
_space_group_name_H-M_alt 'P 4 m m'
_space_group_IT_number 99
_space_group_name_Hall 'P 4 -2'
_cell_length_a 3.2500
_cell_length_b 3.2500
_cell_length_c 5.8713
_cell_angle_alpha 90.00
_cell_angle_beta 90.00
_cell_angle_gamma 90.00
loop_
_atom_site_label
_atom_site_type_symbol
_atom_site_fract_x
_atom_site_fract_y
_atom_site_fract_z
Fe1 Fe 0.0000 0.0000 0.0000
Mo1 Mo 0.0000 0.0000 0.4700
Mo2 Mo 0.5000 0.5000 0.2371
Au1 Au 0.5000 0.5000 0.7583

3 is favored, and the nearest alternative lies 129 meV per atom above it.

1.
# FeMo2Au, relaxed, DFT PBE
# N(E_F)   3.34 states/eV/f.u.
data_FeMo2Au
_chemical_formula_sum 'Fe2 Mo4 Au2'
_space_group_name_H-M_alt 'C 1 m 1'
_space_group_IT_number 8
_space_group_name_Hall 'C -2y'
_cell_length_a 9.2124
_cell_length_b 2.6870
_cell_length_c 5.0202
_cell_angle_alpha 90.00
_cell_angle_beta 97.38
_cell_angle_gamma 90.00
loop_
_atom_site_label
_atom_site_type_symbol
_atom_site_fract_x
_atom_site_fract_y
_atom_site_fract_z
Fe1 Fe 0.0000 0.0000 0.0000
Mo1 Mo 0.2553 0.0000 0.7535
Mo2 Mo 0.4958 0.0000 0.5046
Au1 Au 0.2467 0.5000 0.2389

2.
# FeMo2Au, relaxed, DFT PBE
# N(E_F)   3.22 states/eV/f.u.
data_FeMo2Au
_chemical_formula_sum 'Fe2 Mo4 Au2'
_space_group_name_H-M_alt 'C m m m'
_space_group_IT_number 65
_space_group_name_Hall '-C 2 2'
_cell_length_a 3.3217
_cell_length_b 4.1991
_cell_length_c 8.7712
_cell_angle_alpha 90.00
_cell_angle_beta 90.00
_cell_angle_gamma 90.00
loop_
_atom_site_label
_atom_site_type_symbol
_atom_site_fract_x
_atom_site_fract_y
_atom_site_fract_z
Fe1 Fe 0.0000 0.0000 0.0000
Mo1 Mo 0.0000 0.5000 0.2297
Au1 Au 0.0000 0.0000 0.5000

3.
# FeMo2Au, relaxed, DFT PBE
# N(E_F)   4.24 states/eV/f.u.
data_FeMo2Au
_chemical_formula_sum 'Fe2 Mo4 Au2'
_space_group_name_H-M_alt 'I -4 m 2'
_space_group_IT_number 119
_space_group_name_Hall 'I -4 -2'
_cell_length_a 3.9909
_cell_length_b 3.9909
_cell_length_c 7.6989
_cell_angle_alpha 90.00
_cell_angle_beta 90.00
_cell_angle_gamma 90.00
loop_
_atom_site_label
_atom_site_type_symbol
_atom_site_fract_x
_atom_site_fract_y
_atom_site_fract_z
Fe1 Fe 0.0000 0.0000 0.0000
Mo1 Mo 0.0000 0.0000 0.5000
Mo2 Mo 0.0000 0.5000 0.7500
Au1 Au 0.0000 0.5000 0.2500

2 is favored, and the nearest alternative lies 47 meV per atom above it.

1.
# FeMoAu, relaxed, DFT PBE
# N(E_F)   2.56 states/eV/f.u.
data_FeMoAu
_chemical_formula_sum 'Fe4 Mo4 Au4'
_space_group_name_H-M_alt 'F m m 2'
_space_group_IT_number 42
_space_group_name_Hall 'F 2 -2'
_cell_length_a 3.3700
_cell_length_b 4.2260
_cell_length_c 12.9167
_cell_angle_alpha 90.00
_cell_angle_beta 90.00
_cell_angle_gamma 90.00
loop_
_atom_site_label
_atom_site_type_symbol
_atom_site_fract_x
_atom_site_fract_y
_atom_site_fract_z
Fe1 Fe 0.0000 0.0000 0.0000
Mo1 Mo 0.0000 0.0000 0.3472
Au1 Au 0.0000 0.0000 0.6658

2.
# FeMoAu, relaxed, DFT PBE
# N(E_F)   3.13 states/eV/f.u.
data_FeMoAu
_chemical_formula_sum 'Fe4 Mo4 Au4'
_space_group_name_H-M_alt 'F -4 3 m'
_space_group_IT_number 216
_space_group_name_Hall 'F -4 2 3'
_cell_length_a 5.8786
_cell_length_b 5.8786
_cell_length_c 5.8786
_cell_angle_alpha 90.00
_cell_angle_beta 90.00
_cell_angle_gamma 90.00
loop_
_atom_site_label
_atom_site_type_symbol
_atom_site_fract_x
_atom_site_fract_y
_atom_site_fract_z
Fe1 Fe 0.0000 0.0000 0.0000
Mo1 Mo 0.2500 0.2500 0.7500
Au1 Au 0.2500 0.2500 0.2500

3.
# FeMoAu, relaxed, DFT PBE
# N(E_F)   2.16 states/eV/f.u.
data_FeMoAu
_chemical_formula_sum 'Fe1 Mo1 Au1'
_space_group_name_H-M_alt 'P 3 m 1'
_space_group_IT_number 156
_space_group_name_Hall 'P 3 -2"'
_cell_length_a 4.4631
_cell_length_b 4.4631
_cell_length_c 2.6407
_cell_angle_alpha 90.00
_cell_angle_beta 90.00
_cell_angle_gamma 120.00
loop_
_atom_site_label
_atom_site_type_symbol
_atom_site_fract_x
_atom_site_fract_y
_atom_site_fract_z
Fe1 Fe 0.0000 0.0000 0.0000
Mo1 Mo 0.3333 0.6667 0.3861
Au1 Au 0.6667 0.3333 0.8823

1 is favored, and the nearest alternative lies 27 meV per atom above it.

1.
# FeAu2N, relaxed, DFT PBE
# N(E_F)   2.37 states/eV/f.u.
data_FeAu2N
_chemical_formula_sum 'Fe2 Au4 N2'
_space_group_name_H-M_alt 'A m m 2'
_space_group_IT_number 38
_space_group_name_Hall 'A 2 -2'
_cell_length_a 2.9192
_cell_length_b 7.0079
_cell_length_c 6.4552
_cell_angle_alpha 90.00
_cell_angle_beta 90.00
_cell_angle_gamma 90.00
loop_
_atom_site_label
_atom_site_type_symbol
_atom_site_fract_x
_atom_site_fract_y
_atom_site_fract_z
Fe1 Fe 0.0000 0.0000 0.0000
Au1 Au 0.5000 0.1977 0.7210
N1 N 0.5000 0.0000 0.1423

2.
# FeAu2N, relaxed, DFT PBE
# N(E_F)   3.20 states/eV/f.u.
data_FeAu2N
_chemical_formula_sum 'Fe4 Au8 N4'
_space_group_name_H-M_alt 'I -4 2 d'
_space_group_IT_number 122
_space_group_name_Hall 'I -4 2bw'
_cell_length_a 8.6190
_cell_length_b 8.6190
_cell_length_c 3.4945
_cell_angle_alpha 90.00
_cell_angle_beta 90.00
_cell_angle_gamma 90.00
loop_
_atom_site_label
_atom_site_type_symbol
_atom_site_fract_x
_atom_site_fract_y
_atom_site_fract_z
Fe1 Fe 0.0000 0.0000 0.0000
Au1 Au 0.1217 0.2500 0.6250
N1 N 0.0000 0.0000 0.5000

3.
# FeAu2N, relaxed, DFT PBE
# N(E_F)   2.42 states/eV/f.u.
data_FeAu2N
_chemical_formula_sum 'Fe4 Au8 N4'
_space_group_name_H-M_alt 'F m -3 m'
_space_group_IT_number 225
_space_group_name_Hall '-F 4 2 3'
_cell_length_a 6.1559
_cell_length_b 6.1559
_cell_length_c 6.1559
_cell_angle_alpha 90.00
_cell_angle_beta 90.00
_cell_angle_gamma 90.00
loop_
_atom_site_label
_atom_site_type_symbol
_atom_site_fract_x
_atom_site_fract_y
_atom_site_fract_z
Fe1 Fe 0.0000 0.0000 0.0000
Au1 Au 0.2500 0.2500 0.2500
N1 N 0.0000 0.0000 0.5000

4.
# FeAu2N, relaxed, DFT PBE
# N(E_F)   2.80 states/eV/f.u.
data_FeAu2N
_chemical_formula_sum 'Fe2 Au4 N2'
_space_group_name_H-M_alt 'I m m 2'
_space_group_IT_number 44
_space_group_name_Hall 'I 2 -2'
_cell_length_a 2.8606
_cell_length_b 4.4483
_cell_length_c 9.3331
_cell_angle_alpha 90.00
_cell_angle_beta 90.00
_cell_angle_gamma 90.00
loop_
_atom_site_label
_atom_site_type_symbol
_atom_site_fract_x
_atom_site_fract_y
_atom_site_fract_z
Fe1 Fe 0.0000 0.0000 0.0000
Au1 Au 0.0000 0.0000 0.4412
Au2 Au 0.0000 0.5000 0.2291
N1 N 0.0000 0.0000 0.1756

1 is favored, and the nearest alternative lies 305 meV per atom above it.

1.
# FeAu2N, relaxed, DFT PBE
# N(E_F)   2.94 states/eV/f.u.
data_FeAu2N
_chemical_formula_sum 'Fe1 Au2 N1'
_space_group_name_H-M_alt 'P m m 2'
_space_group_IT_number 25
_space_group_name_Hall 'P 2 -2'
_cell_length_a 2.8561
_cell_length_b 4.5859
_cell_length_c 5.4651
_cell_angle_alpha 90.00
_cell_angle_beta 90.00
_cell_angle_gamma 90.00
loop_
_atom_site_label
_atom_site_type_symbol
_atom_site_fract_x
_atom_site_fract_y
_atom_site_fract_z
Fe1 Fe 0.0000 0.0000 0.0000
Au1 Au 0.0000 0.5000 0.7685
Au2 Au 0.5000 0.0000 0.5718
N1 N 0.5000 0.0000 0.1675

2.
# FeAu2N, relaxed, DFT PBE
# N(E_F)   2.25 states/eV/f.u.
data_FeAu2N
_chemical_formula_sum 'Fe1 Au2 N1'
_space_group_name_H-M_alt 'P 1'
_space_group_IT_number 1
_space_group_name_Hall 'P 1'
_cell_length_a 2.8687
_cell_length_b 2.8688
_cell_length_c 8.8808
_cell_angle_alpha 80.78
_cell_angle_beta 89.94
_cell_angle_gamma 60.00
loop_
_atom_site_label
_atom_site_type_symbol
_atom_site_fract_x
_atom_site_fract_y
_atom_site_fract_z
Fe1 Fe 0.0000 0.0000 0.0000
Au1 Au 0.4181 0.1609 0.2632
Au2 Au 0.8471 0.3005 0.5581
N1 N 0.6446 0.7111 0.9326

3.
# FeAu2N, relaxed, DFT PBE
# N(E_F)   2.34 states/eV/f.u.
data_FeAu2N
_chemical_formula_sum 'Fe2 Au4 N2'
_space_group_name_H-M_alt 'C 1 m 1'
_space_group_IT_number 8
_space_group_name_Hall 'C -2y'
_cell_length_a 11.4265
_cell_length_b 2.8502
_cell_length_c 4.1776
_cell_angle_alpha 90.00
_cell_angle_beta 93.08
_cell_angle_gamma 90.00
loop_
_atom_site_label
_atom_site_type_symbol
_atom_site_fract_x
_atom_site_fract_y
_atom_site_fract_z
Fe1 Fe 0.0000 0.0000 0.0000
Au1 Au 0.1005 0.5000 0.5084
Au2 Au 0.2310 0.0000 0.0325
N1 N 0.4174 0.0000 0.9624

4.
# FeAu2N, relaxed, DFT PBE
# N(E_F)   2.17 states/eV/f.u.
data_FeAu2N
_chemical_formula_sum 'Fe3 Au6 N3'
_space_group_name_H-M_alt 'R 3 m'
_space_group_IT_number 160
_space_group_name_Hall 'R 3 -2"'
_cell_length_a 2.9362
_cell_length_b 2.9362
_cell_length_c 22.8647
_cell_angle_alpha 90.00
_cell_angle_beta 90.00
_cell_angle_gamma 120.00
loop_
_atom_site_label
_atom_site_type_symbol
_atom_site_fract_x
_atom_site_fract_y
_atom_site_fract_z
Fe1 Fe 0.0000 0.0000 0.0000
Au1 Au 0.0000 0.0000 0.2054
Au2 Au 0.0000 0.0000 0.7655
N1 N 0.0000 0.0000 0.3102

2 is favored, and the nearest alternative lies 9 meV per atom above it.

1.
# FeAu2N, relaxed, DFT PBE
# N(E_F)   2.39 states/eV/f.u.
data_FeAu2N
_chemical_formula_sum 'Fe1 Au2 N1'
_space_group_name_H-M_alt 'P 3 m 1'
_space_group_IT_number 156
_space_group_name_Hall 'P 3 -2"'
_cell_length_a 2.9329
_cell_length_b 2.9329
_cell_length_c 7.6447
_cell_angle_alpha 90.00
_cell_angle_beta 90.00
_cell_angle_gamma 120.00
loop_
_atom_site_label
_atom_site_type_symbol
_atom_site_fract_x
_atom_site_fract_y
_atom_site_fract_z
Fe1 Fe 0.0000 0.0000 0.0000
Au1 Au 0.3333 0.6667 0.3866
Au2 Au 0.6667 0.3333 0.7057
N1 N 0.3333 0.6667 0.0702

2.
# FeAu2N, relaxed, DFT PBE
# N(E_F)   2.59 states/eV/f.u.
data_FeAu2N
_chemical_formula_sum 'Fe2 Au4 N2'
_space_group_name_H-M_alt 'C 1 m 1'
_space_group_IT_number 8
_space_group_name_Hall 'C -2y'
_cell_length_a 9.1755
_cell_length_b 2.8606
_cell_length_c 5.3549
_cell_angle_alpha 90.00
_cell_angle_beta 100.36
_cell_angle_gamma 90.00
loop_
_atom_site_label
_atom_site_type_symbol
_atom_site_fract_x
_atom_site_fract_y
_atom_site_fract_z
Fe1 Fe 0.0000 0.0000 0.0000
Au1 Au 0.0090 0.5000 0.4481
Au2 Au 0.2485 0.5000 0.1937
N1 N 0.4598 0.0000 0.8281

3.
# FeAu2N, relaxed, DFT PBE
# N(E_F)   2.32 states/eV/f.u.
data_FeAu2N
_chemical_formula_sum 'Fe2 Au4 N2'
_space_group_name_H-M_alt 'C 1 m 1'
_space_group_IT_number 8
_space_group_name_Hall 'C -2y'
_cell_length_a 9.9819
_cell_length_b 2.8591
_cell_length_c 4.6203
_cell_angle_alpha 90.00
_cell_angle_beta 117.38
_cell_angle_gamma 90.00
loop_
_atom_site_label
_atom_site_type_symbol
_atom_site_fract_x
_atom_site_fract_y
_atom_site_fract_z
Fe1 Fe 0.0000 0.0000 0.0000
Au1 Au 0.1788 0.5000 0.5589
Au2 Au 0.3201 0.0000 0.2000
N1 N 0.9999 0.5000 0.8035

1 is favored, and the nearest alternative lies 261 meV per atom above it.

1.
# Fe2NiAuN, relaxed, DFT PBE
# N(E_F)   7.39 states/eV/f.u.
data_Fe2NiAuN
_chemical_formula_sum 'Fe2 Ni1 Au1 N1'
_space_group_name_H-M_alt 'P 4/m m m'
_space_group_IT_number 123
_space_group_name_Hall '-P 4 2'
_cell_length_a 4.7554
_cell_length_b 4.7554
_cell_length_c 4.6938
_cell_angle_alpha 90.00
_cell_angle_beta 90.00
_cell_angle_gamma 90.00
loop_
_atom_site_label
_atom_site_type_symbol
_atom_site_fract_x
_atom_site_fract_y
_atom_site_fract_z
Fe1 Fe 0.0000 0.5000 0.0000
Ni1 Ni 0.0000 0.0000 0.5000
Au1 Au 0.0000 0.0000 0.0000
N1 N 0.5000 0.5000 0.5000

2.
# Fe2NiAuN, relaxed, DFT PBE
# N(E_F)   3.79 states/eV/f.u.
data_Fe2NiAuN
_chemical_formula_sum 'Fe2 Ni1 Au1 N1'
_space_group_name_H-M_alt 'P 4/m m m'
_space_group_IT_number 123
_space_group_name_Hall '-P 4 2'
_cell_length_a 3.8584
_cell_length_b 3.8584
_cell_length_c 3.9150
_cell_angle_alpha 90.00
_cell_angle_beta 90.00
_cell_angle_gamma 90.00
loop_
_atom_site_label
_atom_site_type_symbol
_atom_site_fract_x
_atom_site_fract_y
_atom_site_fract_z
Fe1 Fe 0.0000 0.5000 0.0000
Ni1 Ni 0.0000 0.0000 0.5000
Au1 Au 0.5000 0.5000 0.5000
N1 N 0.0000 0.0000 0.0000

2 is favored, and the nearest alternative lies 2351 meV per atom above it.

1.
# FeRu2AuN, relaxed, DFT PBE
# N(E_F)   6.10 states/eV/f.u.
data_FeRu2AuN
_chemical_formula_sum 'Fe1 Ru2 Au1 N1'
_space_group_name_H-M_alt 'P 4/m m m'
_space_group_IT_number 123
_space_group_name_Hall '-P 4 2'
_cell_length_a 3.9361
_cell_length_b 3.9361
_cell_length_c 4.4155
_cell_angle_alpha 90.00
_cell_angle_beta 90.00
_cell_angle_gamma 90.00
loop_
_atom_site_label
_atom_site_type_symbol
_atom_site_fract_x
_atom_site_fract_y
_atom_site_fract_z
Fe1 Fe 0.0000 0.0000 0.0000
Ru1 Ru 0.0000 0.5000 0.5000
Au1 Au 0.5000 0.5000 0.0000
N1 N 0.5000 0.5000 0.5000

2.
# FeRu2AuN, relaxed, DFT PBE
# N(E_F)   5.56 states/eV/f.u.
data_FeRu2AuN
_chemical_formula_sum 'Fe1 Ru2 Au1 N1'
_space_group_name_H-M_alt 'P 4/m m m'
_space_group_IT_number 123
_space_group_name_Hall '-P 4 2'
_cell_length_a 4.0544
_cell_length_b 4.0544
_cell_length_c 3.9516
_cell_angle_alpha 90.00
_cell_angle_beta 90.00
_cell_angle_gamma 90.00
loop_
_atom_site_label
_atom_site_type_symbol
_atom_site_fract_x
_atom_site_fract_y
_atom_site_fract_z
Fe1 Fe 0.0000 0.0000 0.0000
Ru1 Ru 0.0000 0.5000 0.5000
Au1 Au 0.5000 0.5000 0.0000
N1 N 0.0000 0.0000 0.5000

2 is favored, and the nearest alternative lies 425 meV per atom above it.